No. 1
This record from Alexandria via LeMat-Bulk describes a relaxed Ac3BiTe2 crystal. The functional is GGA-PBE.

Output
ΔE_f (raw) = -8.1 eV per formula unit

Structure (CIF):
```
data_Ac3BiTe2
_chemical_formula_sum 'Ac6 Bi2 Te4'
_space_group_name_H-M_alt 'I m m m'
_space_group_IT_number 71
_space_group_name_Hall '-I 2 2'
_cell_length_a 4.7902
_cell_length_b 6.7570
_cell_length_c 14.3416
_cell_angle_alpha 90.00
_cell_angle_beta 90.00
_cell_angle_gamma 90.00
loop_
_atom_site_label
_atom_site_fract_x
_atom_site_fract_y
_atom_site_fract_z
_atom_site_occupancy
Ac1 0.0000 0.0000 0.0000 1
Ac2 0.0000 0.0000 0.3336 1
Bi1 0.0000 0.5000 0.0000 1
Te1 0.0000 0.5000 0.3335 1
```

***

No. 2
This record from Alexandria via LeMat-Bulk describes a relaxed La5Pm4Sm4 crystal. The functional is GGA-PBE.

Output
ΔE_f = 21 meV/atom

Structure (CIF):
```
data_La5Pm4Sm4
_chemical_formula_sum 'La10 Pm8 Sm8'
_space_group_name_H-M_alt 'I 4/m'
_space_group_IT_number 87
_space_group_name_Hall '-I 4'
_cell_length_a 13.2944
_cell_length_b 13.2944
_cell_length_c 5.1960
_cell_angle_alpha 90.00
_cell_angle_beta 90.00
_cell_angle_gamma 90.00
loop_
_atom_site_label
_atom_site_fract_x
_atom_site_fract_y
_atom_site_fract_z
_atom_site_occupancy
La1 0.0000 0.0000 0.0000 1
La2 0.0381 0.1932 0.5000 1
Pm1 0.1548 0.7669 0.0000 1
Sm1 0.0757 0.3858 0.0000 1
```

***

Electronic total energy, respectively: -61.2 -124.5 eV/cell.
V, respectively: 38.68 35.32 Å³ per atom.